A geometry-optimized YTl2Cr structure, computed with PBE.

- SG: No. 216
- N(E_F): 1.8 states/eV/cell
- Formation energy from the elements: 0.26 eV per atom
- Raw total energy: -19.8 eV for the cell shown
- Total magnetization: 4.8 μB per formula unit

a b c (Å): 5.2340 5.2340 5.2340
angles (deg): 60.00 60.00 60.00
Fractional coordinates of all 4 atoms:
Tl (0.0000, 0.0000, 0.0000)
Y (0.7500, 0.7500, 0.7500)
Cr (0.5000, 0.5000, 0.5000)
Tl (0.2500, 0.2500, 0.2500)

A geometry-optimized YTl2Cr2 structure, computed with PBE.

- SG: No. 139
- Energy above the most stable polymorph in this dataset: 0.000 eV per atom
- N(E_F): 2.7 states/eV/cell
- Formation energy from the elements: 0.39 eV per atom
- Raw total energy: -28.5 eV for the cell shown
- Total magnetization: 0.2 μB per formula unit

a b c (Å): 3.3797 3.3797 9.3650
angles (deg): 79.60 79.60 90.00
Fractional coordinates of all 5 atoms:
Cr (0.2500, 0.7500, 0.5000)
Tl (0.3772, 0.3772, 0.2456)
Cr (0.7500, 0.2500, 0.5000)
Y (0.0000, 0.0000, 0.0000)
Tl (0.6228, 0.6228, 0.7544)

A geometry-optimized YTl4Cr structure, computed with PBE.

- SG: No. 216
- N(E_F): 4.8 states/eV/cell
- Formation energy from the elements: 0.41 eV per atom
- Raw total energy: -23.1 eV for the cell shown
- Total magnetization: 4.0 μB per formula unit

a b c (Å): 6.2049 6.2049 6.2049
angles (deg): 60.00 60.00 60.00
Fractional coordinates of all 6 atoms:
Tl (0.3748, 0.3748, 0.3748)
Cr (0.0000, 0.0000, 0.0000)
Tl (0.8756, 0.3748, 0.3748)
Tl (0.3748, 0.8756, 0.3748)
Y (0.7500, 0.7500, 0.7500)
Tl (0.3748, 0.3748, 0.8756)